First-principles (PBE with a Hubbard U) data for crystalline Sr2DyCoO5 at its relaxed geometry, as listed in Alexandria.

```
data_Sr2DyCoO5
_chemical_formula_sum 'Sr4 Dy2 Co2 O10'
_symmetry_space_group_name_H-M 'P 1'
_symmetry_Int_Tables_number 1
_symmetry_space_group_name_Hall 'P 1'
_cell_length_a 3.474
_cell_length_b 6.918
_cell_length_c 11.137
_cell_angle_alpha 90.00
_cell_angle_beta 90.00
_cell_angle_gamma 104.54
loop_
_atom_site_label
_atom_site_type_symbol
_atom_site_fract_x
_atom_site_fract_y
_atom_site_fract_z
Sr1 Sr 0.853 0.705 0.811
Sr2 Sr 0.096 0.192 0.686
Sr3 Sr 0.147 0.295 0.311
Sr4 Sr 0.904 0.808 0.186
Dy1 Dy 0.795 0.589 0.523
Dy2 Dy 0.205 0.411 0.023
Co1 Co 0.519 0.038 0.947
Co2 Co 0.481 0.962 0.447
O1 O 0.375 0.749 0.990
O2 O 0.667 0.335 0.894
O3 O 0.487 0.974 0.785
O4 O 0.279 0.557 0.657
O5 O 0.961 0.922 0.530
O6 O 0.625 0.251 0.490
O7 O 0.333 0.665 0.394
O8 O 0.513 0.026 0.285
O9 O 0.721 0.443 0.157
O10 O 0.039 0.078 0.030
```

Calculated values
Total DFT energy (no corrections) ... -6.6480 eV per atom
Theoretical density ... 6.1 g cm⁻³
Magnetic moment ... 0.2152 μB/atom